Material: LiAg2Sn2
Method: DFT, PBE
State: relaxed

Cell lengths 4.683, 4.683, 5.789 Å; angles 109.36, 109.36, 62.56 degrees
Fractional coordinates of all 5 atoms:
1 Li 0.000 0.000 0.000
2 Ag 0.203 0.203 0.606
3 Ag 0.797 0.797 0.394
4 Sn 0.397 0.397 0.206
5 Sn 0.603 0.603 0.794

Its excess energy over the best structure of this formula in the dataset is 0.051 eV/atom.